[1]
{
  "formula": "ErUSe3",
  "functional": "PBE-GGA",
  "state": "optimized geometry",
  "polymorph_energy_mev_per_atom": 0.0,
  "lattice": [[7.649, 0.000, 0.000], [0.000, 4.056, 0.000], [0.000, 0.000, 15.709]],
  "species": ["Er", "Er", "Er", "Er", "U", "U", "U", "U", "Se", "Se", "Se", "Se", "Se", "Se", "Se", "Se", "Se", "Se", "Se", "Se"],
  "fractional_positions": [[0.235, 0.250, 0.043], [0.265, 0.750, 0.543], [0.735, 0.250, 0.457], [0.765, 0.750, 0.957], [0.135, 0.750, 0.293], [0.365, 0.250, 0.793], [0.635, 0.750, 0.207], [0.865, 0.250, 0.707], [0.007, 0.750, 0.107], [0.122, 0.250, 0.434], [0.148, 0.750, 0.720], [0.352, 0.250, 0.220], [0.378, 0.750, 0.934], [0.493, 0.250, 0.607], [0.507, 0.750, 0.393], [0.622, 0.250, 0.066], [0.648, 0.750, 0.780], [0.852, 0.250, 0.280], [0.878, 0.750, 0.566], [0.993, 0.250, 0.893]]
}



[2]
{
  "formula": "ErU4Se8",
  "functional": "PBE-GGA",
  "state": "optimized geometry",
  "e_tot_ev_per_atom": -7.215,
  "lattice": [[4.032, 2.328, 6.718], [-4.032, 2.328, 6.718], [0.000, -4.655, 6.718]],
  "species": ["Er", "U", "U", "U", "U", "Se", "Se", "Se", "Se", "Se", "Se", "Se", "Se"],
  "fractional_positions": [[0.000, 0.000, 0.000], [0.000, 0.000, 0.500], [0.000, 0.500, 0.000], [0.500, 0.000, 0.000], [0.500, 0.500, 0.500], [0.246, 0.246, 0.246], [0.248, 0.248, 0.749], [0.248, 0.749, 0.248], [0.251, 0.752, 0.752], [0.749, 0.248, 0.248], [0.752, 0.251, 0.752], [0.752, 0.752, 0.251], [0.754, 0.754, 0.754]]
}



[3]
{
  "formula": "Er2USe",
  "functional": "PBE-GGA",
  "state": "optimized geometry",
  "e_tot_ev_per_atom": -5.739,
  "lattice": [[0.000, 3.692, 3.692], [3.692, 0.000, 3.692], [3.692, 3.692, 0.000]],
  "species": ["Er", "Er", "U", "Se"],
  "fractional_positions": [[0.250, 0.250, 0.250], [0.750, 0.750, 0.750], [0.000, 0.000, 0.000], [0.500, 0.500, 0.500]]
}



[4]
{
  "formula": "Er2USe4",
  "functional": "PBE-GGA",
  "state": "optimized geometry",
  "e_tot_ev_per_atom": -6.188,
  "lattice": [[4.197, 0.000, 0.000], [-2.099, 3.635, 0.000], [0.000, 0.000, 14.984]],
  "species": ["Er", "Er", "U", "Se", "Se", "Se", "Se"],
  "fractional_positions": [[0.000, 0.000, 0.000], [0.333, 0.667, 0.285], [0.667, 0.333, 0.578], [0.000, 0.000, 0.183], [0.000, 0.000, 0.674], [0.667, 0.333, 0.386], [0.667, 0.333, 0.921]]
}



[5]
{
  "formula": "Er3U2Se8",
  "functional": "PBE-GGA",
  "state": "optimized geometry",
  "e_tot_ev_per_atom": -6.411,
  "lattice": [[7.308, -4.053, 0.000], [7.308, 4.053, 0.000], [-2.256, 0.000, 6.518]],
  "species": ["Er", "Er", "Er", "U", "U", "Se", "Se", "Se", "Se", "Se", "Se", "Se", "Se"],
  "fractional_positions": [[0.000, 0.000, 0.000], [0.260, 0.740, 0.500], [0.740, 0.260, 0.500], [0.258, 0.258, 0.831], [0.742, 0.742, 0.169], [0.113, 0.640, 0.087], [0.117, 0.117, 0.419], [0.360, 0.887, 0.913], [0.388, 0.388, 0.606], [0.612, 0.612, 0.394], [0.640, 0.113, 0.087], [0.883, 0.883, 0.581], [0.887, 0.360, 0.913]]
}



[6]
{
  "formula": "ErU2Se4",
  "functional": "PBE-GGA",
  "state": "optimized geometry",
  "e_tot_ev_per_atom": -7.120,
  "lattice": [[1.932, -6.711, 0.000], [1.932, 6.711, 0.000], [0.000, 0.000, 14.082]],
  "species": ["Er", "Er", "U", "U", "U", "U", "Se", "Se", "Se", "Se", "Se", "Se", "Se", "Se"],
  "fractional_positions": [[0.115, 0.885, 0.750], [0.885, 0.115, 0.250], [0.360, 0.640, 0.566], [0.360, 0.640, 0.934], [0.640, 0.360, 0.066], [0.640, 0.360, 0.434], [0.000, 0.000, 0.000], [0.000, 0.000, 0.500], [0.287, 0.713, 0.129], [0.287, 0.713, 0.371], [0.459, 0.541, 0.750], [0.541, 0.459, 0.250], [0.713, 0.287, 0.629], [0.713, 0.287, 0.871]]
}



It is found that the V values, taken in the order of the records, are 487.31, 378.26, 100.67, 228.62, 386.12, 365.10 Å³ per cell.
It is found that the Fermi-level density of states values, taken in the order of the records, are 1.46, 1.03, 2.30, 1.23, 0.75, 1.66 states/eV per atom.